No. 1
{
  "formula": "Ba4ZnHg",
  "functional": "PBE-GGA",
  "state": "optimized geometry",
  "lattice_angstrom": [[4.2242, -0.0008, 0.0002], [0.0008, 4.2242, 0.0002], [-0.0007, -0.0007, 15.0633]],
  "species": ["Ba", "Ba", "Ba", "Ba", "Zn", "Hg"],
  "fractional_positions": [[0.5000, 0.5000, 0.8728], [0.5000, 0.5000, 0.1272], [0.0000, 0.0000, 0.6325], [0.0000, 0.0000, 0.3675], [0.0000, 0.0000, 0.0000], [0.5000, 0.5000, 0.5000]],
  "sg": "P4/mmm",
  "e_form_ev_per_atom": -0.25,
  "dos_at_fermi_per_ev_cell": 7.87,
  "total_energy_ev_per_cell": -10.8,
  "polymorph_energy_ev_per_atom": 0.000
}

No. 2
{
  "formula": "CdPt9Rh2",
  "functional": "PBE-GGA",
  "state": "optimized geometry",
  "lattice_angstrom": [[-1.9551, 3.1857, 1.3007], [-2.0455, -2.2789, 2.5070], [8.4033, 1.7196, 8.4196]],
  "species": ["Cd", "Pt", "Pt", "Pt", "Pt", "Pt", "Pt", "Pt", "Pt", "Pt", "Rh", "Rh"],
  "fractional_positions": [[0.0000, 0.0000, 0.0000], [0.5000, 0.5000, 0.0000], [0.5000, 0.5000, 0.3348], [0.5000, 0.5000, 0.6652], [0.5000, 0.0000, 0.1735], [0.5000, 0.0000, 0.5000], [0.5000, 0.0000, 0.8265], [0.0000, 0.5000, 0.1735], [0.0000, 0.5000, 0.5000], [0.0000, 0.5000, 0.8265], [0.0000, 0.0000, 0.3404], [0.0000, 0.0000, 0.6596]],
  "sg": "P4/mmm",
  "e_form_ev_per_atom": -0.08,
  "dos_at_fermi_per_ev_cell": 18.79,
  "total_energy_ev_per_cell": -70.9
}

No. 3
{
  "formula": "Pr6Sb3C",
  "functional": "PBE-GGA",
  "state": "optimized geometry",
  "lattice_angstrom": [[-5.0176, 3.2046, -3.4504], [2.8574, -3.2391, -7.1637], [-6.5608, -8.3747, 1.1697]],
  "species": ["Pr", "Pr", "Pr", "Pr", "Pr", "Pr", "Pr", "Pr", "Pr", "Pr", "Pr", "Pr", "Sb", "Sb", "Sb", "Sb", "Sb", "Sb", "C", "C"],
  "fractional_positions": [[0.6779, 0.1570, 0.9475], [0.6326, 0.2156, 0.5566], [0.6356, 0.4562, 0.2717], [0.3644, 0.5438, 0.7283], [0.3674, 0.7844, 0.4434], [0.3221, 0.8430, 0.0525], [0.1779, 0.3430, 0.4475], [0.1326, 0.2844, 0.0566], [0.1356, 0.0438, 0.7717], [0.8644, 0.9562, 0.2283], [0.8674, 0.7156, 0.9434], [0.8221, 0.6570, 0.5525], [0.5667, 0.8897, 0.7484], [0.5000, 0.5000, 0.0000], [0.4333, 0.1103, 0.2516], [0.0667, 0.6103, 0.2484], [0.0000, 0.0000, 0.5000], [0.9333, 0.3897, 0.7516], [0.5000, 0.5000, 0.5000], [0.0000, 0.0000, 0.0000]],
  "e_form_raw_ev_per_atom": -0.687,
  "sg": "P2_1/c",
  "dos_at_fermi_per_ev_cell": 20.36,
  "total_energy_ev_per_cell": -114.3
}

> What is the formula in the third record?

Pr6Sb3C